1.
DFT (PBE-GGA) results for crystalline PrZnAsS at its relaxed geometry.

a b c (Å): 11.631 11.631 11.631
angles (deg): 22.00 22.00 22.00
Atoms (fractional coordinates):
Pr 0.108 0.108 0.108
Pr 0.892 0.892 0.892
Zn 0.305 0.305 0.305
Zn 0.695 0.695 0.695
As 0.381 0.381 0.381
As 0.619 0.619 0.619
S 0.197 0.197 0.197
S 0.803 0.803 0.803

- Formation energy from raw total energies: -107.5 kJ/mol of atoms

2.
DFT (PBE-GGA) results for crystalline Tb2SmErIn4 at its relaxed geometry.

a b c (Å): 9.266 9.266 9.266
angles (deg): 33.47 33.47 33.47
Atoms (fractional coordinates):
Tb 0.249 0.249 0.249
Tb 0.751 0.751 0.751
Sm 0.000 0.000 0.000
Er 0.500 0.500 0.500
In 0.126 0.126 0.126
In 0.376 0.376 0.376
In 0.624 0.624 0.624
In 0.874 0.874 0.874

- ΔH_f (0 K): -0.47 eV per atom

3.
DFT (PBE-GGA) results for crystalline LiAl3Hg at its relaxed geometry.

a b c (Å): 4.649 4.649 4.649
angles (deg): 90.00 90.00 90.00
Atoms (fractional coordinates):
Li 0.000 0.000 0.000
Al 0.000 0.000 0.500
Al 0.000 0.500 0.000
Al 0.500 0.000 0.000
Hg 0.500 0.500 0.500

- ΔH_f (0 K): 0.44 eV per atom
- ΔE to the lowest computed polymorph: 0 meV/atom